DFT (PBE) results for an optimized crystal structure of SrSmMgAl.

## Properties
The density comes out at 4.1 Mg/m³. The symmetry is F-43m. As for the formation energy: -11.6 kJ per mole of atoms.

abc: 5.4958 5.4958 5.4958
angles: 60.00 60.00 60.00
Fractional positions:
Al  0.5000  0.5000  0.5000
Sm  0.7500  0.7500  0.7500
Sr  0.2500  0.2500  0.2500
Mg  0.0000  0.0000  0.0000